1.
A relaxed K2BePt crystal, computed with PBEsol.

Cell lengths 2.742, 4.585, 7.918 Å; angles 90.00, 90.00, 90.00 degrees
Space group Pmmm (No. 47)
One atom of each set of equivalent atoms:
K  0.000  0.000  0.227 (multiplicity 2)
Be  0.500  0.500  0.500 (multiplicity 1)
Pt  0.500  0.500  0.000 (multiplicity 1)

Calculated values
E: -10.33 eV per formula unit
DFT formation energy: 0.724 eV/atom

2.
A relaxed KBePt2 crystal, computed with PBEsol.

Cell lengths 2.771, 4.729, 4.937 Å; angles 90.00, 90.00, 90.00 degrees
Space group Pmmm (No. 47)
One atom of each set of equivalent atoms:
K  0.000  0.000  0.000 (multiplicity 1)
Be  0.500  0.000  0.500 (multiplicity 1)
Pt  0.000  0.500  0.500 (multiplicity 1)
Pt  0.500  0.500  0.000 (multiplicity 1)

Calculated values
E: -17.14 eV per formula unit
DFT formation energy: 0.480 eV/atom

3.
A relaxed KBePt2 crystal, computed with PBEsol.

Cell lengths 4.101, 4.101, 7.697 Å; angles 90.00, 90.00, 90.00 degrees
Space group I4/mmm (No. 139)
One atom of each set of equivalent atoms:
K  0.000  0.000  0.000 (multiplicity 2)
Be  0.000  0.000  0.500 (multiplicity 2)
Pt  0.000  0.500  0.250 (multiplicity 4)

Calculated values
E: -16.87 eV per formula unit
DFT formation energy: 0.547 eV/atom

4.
A relaxed KBePt3 crystal, computed with PBEsol.

Cell lengths 4.348, 4.348, 4.348 Å; angles 90.00, 90.00, 90.00 degrees
Space group Pm-3m (No. 221)
One atom of each set of equivalent atoms:
K  0.000  0.000  0.000 (multiplicity 1)
Be  0.500  0.500  0.500 (multiplicity 1)
Pt  0.000  0.500  0.500 (multiplicity 3)

Calculated values
E: -25.34 eV per formula unit
DFT formation energy: 0.137 eV/atom

What did the second record say?
A relaxed KBePt2 crystal, computed with PBEsol.

Cell lengths 2.771, 4.729, 4.937 Å; angles 90.00, 90.00, 90.00 degrees
Space group Pmmm (No. 47)
One atom of each set of equivalent atoms:
K  0.000  0.000  0.000 (multiplicity 1)
Be  0.500  0.000  0.500 (multiplicity 1)
Pt  0.000  0.500  0.500 (multiplicity 1)
Pt  0.500  0.500  0.000 (multiplicity 1)

Calculated values
E: -17.14 eV per formula unit
DFT formation energy: 0.480 eV/atom

Q: E of number 1 (K2BePt)?
A: -10.33 eV per formula unit

Q: Among the records above, which one has the highest DFT formation energy?
A: K2BePt